The following is a DFT calculation (PBE) of an optimized crystal structure of Sr6Zn5Hg.

Volume: 30.36 Å³/atom
Formation energy from the elements: -0.24 eV per atom
M_tot: 0.0 μB per cell

```
data_Sr6Zn5Hg
_cell_length_a 5.542
_cell_length_b 9.640
_cell_length_c 9.640
_cell_angle_alpha 120.11
_cell_angle_beta 106.70
_cell_angle_gamma 106.70
_space_group_name_H-M_alt 'P 1'
_space_group_IT_number 1
_space_group_name_Hall 'P 1'
loop_
_atom_site_label
_atom_site_fract_x
_atom_site_fract_y
_atom_site_fract_z
Zn1 0.500 0.167 0.833
Sr1 0.251 0.419 0.084
Hg1 0.000 0.000 0.000
Zn2 0.500 0.500 0.500
Sr2 0.749 0.581 0.916
Sr3 0.749 0.916 0.581
Zn3 0.000 0.333 0.667
Sr4 0.753 0.253 0.253
Zn4 0.000 0.667 0.333
Sr5 0.247 0.747 0.747
Sr6 0.251 0.084 0.419
Zn5 0.500 0.833 0.167
```